(1)
Density functional theory data (PBE) for an optimized crystal structure of TbCe2Tl4.

a = 7.6327 Å, b = 7.6327 Å, c = 5.0830 Å
α = 90.00°, β = 90.00°, γ = 130.03°
Closest atoms and distances in Å follow each position.
Fractional coordinates of all 7 atoms:
1 Tb 0.0000 0.0000 0.0000  4 Tl 3.13
2 Ce 0.3995 0.6005 0.5000  1 Ce 2.78
3 Ce 0.6005 0.3995 0.5000  1 Ce 2.78
4 Tl 0.1317 0.8683 0.5000  2 Tl 3.08, 2 Tb 3.13, 2 Ce 3.25
5 Tl 0.2574 0.7426 0.0000  4 Tl 3.08-3.23, 2 Ce 3.21
6 Tl 0.7426 0.2574 0.0000  4 Tl 3.08-3.23, 2 Ce 3.21
7 Tl 0.8683 0.1317 0.5000  2 Tl 3.08, 2 Tb 3.13, 2 Ce 3.25

Calculated values
Its formation energy is 0.1133 eV per atom. For the volume, the calculation gives 32.4 A^3/atom. The total DFT energy (no corrections) comes out at -3.596 eV/atom. For the density of states at the Fermi level, the calculation gives 13.39 states/eV per cell. As for the space group: Cmmm, No. 65. The value obtained for the relative energy among the computed polymorphs is 250 meV/atom. The calculation puts the magnetization at 2.5 μB/cell.

=====

(2)
Density functional theory data (PBE) for an optimized crystal structure of ZnTc2Cl.

a = 5.5820 Å, b = 5.5820 Å, c = 5.5820 Å
α = 102.74°, β = 102.74°, γ = 123.98°
Closest atoms and distances in Å follow each position.
Fractional coordinates of all 8 atoms:
1 Zn 0.0000 0.0000 0.0000  2 Cl 2.62, 8 Tc 2.90-2.92
2 Zn 0.7500 0.2500 0.5000  2 Cl 2.62, 8 Tc 2.90-2.92
3 Tc 0.1937 0.6250 0.0687  2 Cl 2.25
4 Tc 0.3750 0.4437 0.5687  2 Cl 2.25
5 Tc 0.5563 0.1250 0.9313  2 Cl 2.25
6 Tc 0.8750 0.8063 0.4313  2 Cl 2.25
7 Cl 0.2500 0.7500 0.5000  4 Tc 2.25
8 Cl 0.5000 0.5000 0.0000  4 Tc 2.25

Calculated values
For the volume, the calculation gives 15.9 A^3/atom. The total DFT energy (no corrections) comes out at -5.036 eV/atom. For the density of states at the Fermi level, the calculation gives 15.73 states/eV per cell. As for the space group: I-42d, No. 122. As for the uncorrected formation energy: 3.71 eV per formula unit. The value obtained for the relative energy among the computed polymorphs is 970 meV/atom. The calculation puts the magnetization at 0.0 μB/cell.